## SrCa7Mn6Cr2O23 (GGA+U)

Data for a relaxed SrCa7Mn6Cr2O23 crystal.

a b c (Å): 7.656 7.688 7.704
angles (deg): 89.91 89.78 89.53
Fractional coordinates of all 39 atoms:
Sr (0.000, 0.000, 0.000)
Ca (0.020, 0.523, 0.983)
Ca (0.447, 0.485, 0.499)
Ca (0.469, 0.955, 0.503)
Ca (0.485, 0.989, 0.989)
Ca (0.510, 0.510, 0.990)
Ca (0.983, 0.478, 0.511)
Ca (0.984, 0.970, 0.514)
Mn (0.242, 0.737, 0.248)
Mn (0.243, 0.238, 0.753)
Mn (0.243, 0.739, 0.747)
Mn (0.735, 0.244, 0.735)
Mn (0.741, 0.737, 0.743)
Mn (0.743, 0.736, 0.242)
Cr (0.229, 0.238, 0.256)
Cr (0.717, 0.252, 0.262)
O (0.188, 0.268, 0.004)
O (0.205, 0.487, 0.294)
O (0.208, 0.488, 0.716)
O (0.216, 0.776, 0.497)
O (0.276, 0.705, 0.998)
O (0.276, 0.988, 0.776)
O (0.281, 0.989, 0.217)
O (0.297, 0.212, 0.505)
O (0.487, 0.284, 0.208)
O (0.493, 0.702, 0.706)
O (0.495, 0.267, 0.811)
O (0.495, 0.701, 0.285)
O (0.697, 0.764, 0.991)
O (0.703, 0.311, 0.481)
O (0.704, 0.994, 0.711)
O (0.714, 0.029, 0.223)
O (0.782, 0.489, 0.781)
O (0.783, 0.438, 0.154)
O (0.790, 0.723, 0.490)
O (0.989, 0.204, 0.715)
O (0.992, 0.770, 0.777)
O (0.993, 0.758, 0.206)
O (0.994, 0.198, 0.303)

total magnetization	24.0	Bohr magnetons per cell
electronic total energy	-6.99	eV per atom
space group	No. 1